# 1
Below is a relaxed AcNd3Sm4 crystal, with properties calculated at the PBE level.

Lattice parameters (Å, degrees): 10.440 7.385 7.384 90.00 90.00 90.00
Fractional positions:
Ac (0.000, 0.001, 0.000)
Ac (0.500, 0.999, 0.500)
Nd (0.000, 0.499, 0.500)
Nd (0.250, 0.254, 0.750)
Nd (0.250, 0.746, 0.250)
Nd (0.500, 0.501, 0.000)
Nd (0.750, 0.254, 0.750)
Nd (0.750, 0.746, 0.250)
Sm (0.000, 0.000, 0.500)
Sm (0.000, 0.500, 0.000)
Sm (0.249, 0.746, 0.750)
Sm (0.251, 0.254, 0.250)
Sm (0.500, 0.000, 0.000)
Sm (0.500, 0.500, 0.500)
Sm (0.749, 0.254, 0.250)
Sm (0.751, 0.746, 0.750)

- V (Å³/f.u.) = 284.7
- DOS at the Fermi energy (states/eV per cell) = 24.41
- E_form (eV per formula unit) = 0.200
- space-group type = Pmn2_1


# 2
Below is a relaxed Hf4PtAu crystal, with properties calculated at the PBE level.

Lattice parameters (Å, degrees): 6.086 6.086 4.148 90.00 90.00 90.03
Fractional positions:
Hf (0.202, 0.798, 0.000)
Hf (0.310, 0.310, 0.500)
Hf (0.690, 0.690, 0.500)
Hf (0.798, 0.202, 0.000)
Pt (0.500, 0.500, 0.000)
Au (0.000, 0.000, 0.500)

- V (Å³/f.u.) = 153.6
- DOS at the Fermi energy (states/eV per cell) = 8.51
- E_form (eV per formula unit) = 0.812
- space-group type = Cmmm


# 3
Below is a relaxed Nd4SmAg5 crystal, with properties calculated at the PBE level.

Lattice parameters (Å, degrees): 3.718 3.718 19.045 90.00 90.00 90.00
Fractional positions:
Nd (0.000, 0.000, 0.100)
Nd (0.000, 0.000, 0.301)
Nd (0.000, 0.000, 0.699)
Nd (0.000, 0.000, 0.900)
Sm (0.000, 0.000, 0.500)
Ag (0.500, 0.500, 0.000)
Ag (0.500, 0.500, 0.201)
Ag (0.500, 0.500, 0.403)
Ag (0.500, 0.500, 0.597)
Ag (0.500, 0.500, 0.799)

- V (Å³/f.u.) = 263.3
- DOS at the Fermi energy (states/eV per cell) = 7.55
- E_form (eV per formula unit) = -2.618
- space-group type = P4/mmm


# 4
Below is a relaxed AlBi2C crystal, with properties calculated at the PBE level.

Lattice parameters (Å, degrees): 4.950 4.950 4.950 60.00 60.00 60.00
Fractional positions:
Al (0.000, 0.000, 0.000)
Bi (0.250, 0.250, 0.250)
Bi (0.750, 0.750, 0.750)
C (0.500, 0.500, 0.500)

- V (Å³/f.u.) = 85.8
- DOS at the Fermi energy (states/eV per cell) = 2.05
- E_form (eV per formula unit) = 5.587
- space-group type = Fm-3m


# 5
Below is a relaxed GeSbAs crystal, with properties calculated at the PBE level.

Lattice parameters (Å, degrees): 4.874 5.878 6.369 99.19 90.10 107.60
Fractional positions:
Ge (0.000, 0.000, 0.000)
Ge (0.475, 0.957, 0.543)
Sb (0.638, 0.545, 0.435)
Sb (0.986, 0.550, 0.799)
As (0.574, 0.160, 0.929)
As (0.994, 0.002, 0.399)

- V (Å³/f.u.) = 85.7
- DOS at the Fermi energy (states/eV per cell) = 1.66
- space-group type = P1
- uncorrected formation energy (eV/f.u.) = 0.61


# 6
Below is a relaxed ErPu2O6 crystal, with properties calculated at the PBE level.

Lattice parameters (Å, degrees): 3.812 3.812 9.087 90.00 90.00 120.00
Fractional positions:
Er (0.000, 0.000, 0.000)
Pu (0.333, 0.667, 0.668)
Pu (0.667, 0.333, 0.332)
O (0.000, 0.000, 0.261)
O (0.000, 0.000, 0.739)
O (0.333, 0.667, 0.417)
O (0.333, 0.667, 0.906)
O (0.667, 0.333, 0.094)
O (0.667, 0.333, 0.583)

- V (Å³/f.u.) = 114.4
- DOS at the Fermi energy (states/eV per cell) = 7.41
- space-group type = P-3m1
- uncorrected formation energy (eV/f.u.) = -28.56


# 7
Below is a relaxed Ti3VTc crystal, with properties calculated at the PBE level.

Lattice parameters (Å, degrees): 3.077 5.290 10.026 88.05 89.93 73.11
Fractional positions:
Ti (0.136, 0.227, 0.466)
Ti (0.254, 0.992, 0.749)
Ti (0.362, 0.776, 0.046)
Ti (0.638, 0.224, 0.954)
Ti (0.746, 0.008, 0.251)
Ti (0.864, 0.773, 0.534)
V (0.461, 0.578, 0.331)
V (0.539, 0.422, 0.669)
Tc (0.051, 0.397, 0.154)
Tc (0.949, 0.603, 0.846)

- V (Å³/f.u.) = 78.0
- DOS at the Fermi energy (states/eV per cell) = 13.12
- E_form (eV per formula unit) = -1.014
- space-group type = P-1


# 8
Below is a relaxed MoOs3 crystal, with properties calculated at the PBE level.

Lattice parameters (Å, degrees): 2.774 4.408 4.788 90.00 90.00 90.00
Fractional positions:
Mo (0.000, 0.000, 0.000)
Os (0.000, 0.500, 0.337)
Os (0.500, 0.000, 0.495)
Os (0.500, 0.500, 0.830)

- V (Å³/f.u.) = 58.5
- DOS at the Fermi energy (states/eV per cell) = 2.71
- E_form (eV per formula unit) = -0.113
- space-group type = Pmm2